PBE CrSiSe2, optimized geometry; formation energy from raw total energies = -0.3 eV/f.u.; VASP energy = -5.59 eV/atom
1.0
3.766 -0.435 0.360
2.248 3.052 0.360
1.379 0.600 6.447
Cr Se Si
1 2 1
Direct
0.250 0.250 0.250
0.997 0.997 0.007
0.503 0.503 0.493
0.750 0.750 0.750